Entry 1:
Computed, not measured: an optimized crystal structure of TaAsPO at the PBE-GGA level of DFT.

Values from the calculation:
As for the total energy: -7.53 eV/atom.

Geometry as CIF:
```
data_TaAsPO
_space_group_name_H-M_alt 'P 1'
_space_group_IT_number 1
_space_group_name_Hall 'P 1'
_cell_length_a 3.3396
_cell_length_b 6.4018
_cell_length_c 7.1471
_cell_angle_alpha 90.00
_cell_angle_beta 90.00
_cell_angle_gamma 90.00
loop_
_atom_site_label
_atom_site_type_symbol
_atom_site_fract_x
_atom_site_fract_y
_atom_site_fract_z
Ta1 Ta 0.0000 0.0827 0.0000
Ta2 Ta 0.0000 0.9173 0.5000
As1 As 0.5000 0.2702 0.5628
As2 As 0.5000 0.7298 0.0628
P1 P 0.0000 0.2575 0.3197
P2 P 0.0000 0.7425 0.8197
O1 O 0.5000 0.2176 0.9447
O2 O 0.5000 0.7824 0.4447
```

***

Entry 2:
Computed, not measured: an optimized crystal structure of SmDyBrNCl2 at the PBE-GGA level of DFT.

Values from the calculation:
As for the total energy: -5.84 eV/atom.

Geometry as CIF:
```
data_SmDyBrNCl2
_space_group_name_H-M_alt 'P 1'
_space_group_IT_number 1
_space_group_name_Hall 'P 1'
_cell_length_a 8.7184
_cell_length_b 8.7184
_cell_length_c 10.8585
_cell_angle_alpha 121.28
_cell_angle_beta 121.28
_cell_angle_gamma 25.77
loop_
_atom_site_label
_atom_site_type_symbol
_atom_site_fract_x
_atom_site_fract_y
_atom_site_fract_z
Sm1 Sm 0.0830 0.0830 0.4539
Sm2 Sm 0.9170 0.9170 0.5461
Dy1 Dy 0.3622 0.3622 0.2058
Dy2 Dy 0.6378 0.6378 0.7942
Br1 Br 0.4581 0.4581 0.7760
Br2 Br 0.5419 0.5419 0.2240
N1 N 0.0765 0.0765 0.6606
N2 N 0.9235 0.9235 0.3394
Cl1 Cl 0.1721 0.1721 0.0151
Cl2 Cl 0.2831 0.2831 0.3832
Cl3 Cl 0.7169 0.7169 0.6168
Cl4 Cl 0.8279 0.8279 0.9849
```

***

Entry 3:
Computed, not measured: an optimized crystal structure of Lu4Sn3W2N3 at the PBE-GGA level of DFT.

Values from the calculation:
As for the total energy: -7.47 eV/atom.

Geometry as CIF:
```
data_Lu4Sn3W2N3
_space_group_name_H-M_alt 'P 1'
_space_group_IT_number 1
_space_group_name_Hall 'P 1'
_cell_length_a 5.7671
_cell_length_b 5.7671
_cell_length_c 14.6191
_cell_angle_alpha 100.97
_cell_angle_beta 100.97
_cell_angle_gamma 60.16
loop_
_atom_site_label
_atom_site_type_symbol
_atom_site_fract_x
_atom_site_fract_y
_atom_site_fract_z
Lu1 Lu 0.0253 0.2017 0.0879
Lu2 Lu 0.1440 0.3014 0.4121
Lu3 Lu 0.2017 0.0253 0.5879
Lu4 Lu 0.3014 0.1440 0.9121
Lu5 Lu 0.6986 0.8560 0.0879
Lu6 Lu 0.7983 0.9747 0.4121
Lu7 Lu 0.8560 0.6986 0.5879
Lu8 Lu 0.9747 0.7983 0.9121
Sn1 Sn 0.1134 0.8866 0.2500
Sn2 Sn 0.2799 0.4157 0.7491
Sn3 Sn 0.4157 0.2799 0.2491
Sn4 Sn 0.5843 0.7201 0.7509
Sn5 Sn 0.7201 0.5843 0.2509
Sn6 Sn 0.8866 0.1134 0.7500
W1 W 0.3771 0.5256 0.0813
W2 W 0.4744 0.6229 0.4187
W3 W 0.5256 0.3771 0.5813
W4 W 0.6229 0.4744 0.9187
N1 N 0.0000 0.5000 0.0000
N2 N 0.1648 0.6676 0.5000
N3 N 0.3324 0.8352 0.0000
N4 N 0.5000 0.0000 0.5000
N5 N 0.6676 0.1648 0.0000
N6 N 0.8352 0.3324 0.5000
```

***

Entry 4:
Computed, not measured: an optimized crystal structure of ZrGe2Ir at the PBE-GGA level of DFT.

Values from the calculation:
As for the total energy: -6.90 eV/atom.

Geometry as CIF:
```
data_ZrGe2Ir
_space_group_name_H-M_alt 'P 1'
_space_group_IT_number 1
_space_group_name_Hall 'P 1'
_cell_length_a 6.5490
_cell_length_b 6.5490
_cell_length_c 6.5490
_cell_angle_alpha 90.00
_cell_angle_beta 90.00
_cell_angle_gamma 90.00
loop_
_atom_site_label
_atom_site_type_symbol
_atom_site_fract_x
_atom_site_fract_y
_atom_site_fract_z
Zr1 Zr 0.0000 0.0000 0.0000
Zr2 Zr 0.0000 0.5000 0.5000
Zr3 Zr 0.5000 0.0000 0.5000
Zr4 Zr 0.5000 0.5000 0.0000
Ge1 Ge 0.0000 0.0000 0.5000
Ge2 Ge 0.0000 0.5000 0.0000
Ge3 Ge 0.2500 0.2500 0.2500
Ge4 Ge 0.2500 0.7500 0.7500
Ge5 Ge 0.5000 0.0000 0.0000
Ge6 Ge 0.5000 0.5000 0.5000
Ge7 Ge 0.7500 0.2500 0.7500
Ge8 Ge 0.7500 0.7500 0.2500
Ir1 Ir 0.2500 0.2500 0.7500
Ir2 Ir 0.2500 0.7500 0.2500
Ir3 Ir 0.7500 0.2500 0.2500
Ir4 Ir 0.7500 0.7500 0.7500
```